# 1
! Gd2CdGe | Alexandria | GGA-PBE | relaxed; values from VASP
&SYSTEM
  ibrav = 0, nat = 4, ntyp = 3
/
ATOMIC_SPECIES
Gd 157.25 Gd.upf
Cd 112.41 Cd.upf
Ge 72.64 Ge.upf
ATOMIC_POSITIONS crystal
Gd 0.000 0.500 0.000
Gd 0.500 0.000 0.000
Cd 0.000 0.000 0.500
Ge 0.500 0.500 0.500
CELL_PARAMETERS angstrom
4.975 0.000 0.000
0.000 4.975 0.000
0.000 0.000 4.023
! energy: -35.8 eV/cell

# 2
! BiRhSe2 | Alexandria | GGA-PBE | relaxed; values from VASP
&SYSTEM
  ibrav = 0, nat = 8, ntyp = 3
/
ATOMIC_SPECIES
Bi 208.98 Bi.upf
Rh 102.91 Rh.upf
Se 78.96 Se.upf
ATOMIC_POSITIONS crystal
Bi 0.210 0.790 0.750
Bi 0.790 0.210 0.250
Rh 0.464 0.536 0.750
Rh 0.536 0.464 0.250
Se 0.362 0.638 0.750
Se 0.440 0.560 0.250
Se 0.560 0.440 0.750
Se 0.638 0.362 0.250
CELL_PARAMETERS angstrom
1.503 -12.515 0.000
1.503 12.515 0.000
0.000 0.000 4.883
! formation energy (no corrections): 37 meV/atom

# 3
! Sc3Ni4Ge4 | Alexandria | GGA-PBE | relaxed; values from VASP
&SYSTEM
  ibrav = 0, nat = 11, ntyp = 3
/
ATOMIC_SPECIES
Sc 44.96 Sc.upf
Ni 58.69 Ni.upf
Ge 72.64 Ge.upf
ATOMIC_POSITIONS crystal
Sc 0.000 0.000 0.000
Sc 0.374 0.874 0.500
Sc 0.626 0.126 0.500
Ni 0.019 0.322 0.697
Ni 0.374 0.678 0.697
Ni 0.626 0.322 0.303
Ni 0.981 0.678 0.303
Ge 0.219 0.219 0.000
Ge 0.304 0.500 0.804
Ge 0.696 0.500 0.196
Ge 0.781 0.781 0.000
CELL_PARAMETERS angstrom
-1.959 3.316 6.469
1.959 -3.316 6.469
1.959 3.316 -6.469
! energy: -68.8 eV/cell

# 4
! RbZrSc | Alexandria | GGA-PBE | relaxed; values from VASP
&SYSTEM
  ibrav = 0, nat = 6, ntyp = 3
/
ATOMIC_SPECIES
Rb 85.47 Rb.upf
Zr 91.22 Zr.upf
Sc 44.96 Sc.upf
ATOMIC_POSITIONS crystal
Rb 0.000 0.000 0.000
Rb 0.000 0.000 0.500
Zr 0.333 0.667 0.250
Zr 0.667 0.333 0.750
Sc 0.333 0.667 0.750
Sc 0.667 0.333 0.250
CELL_PARAMETERS angstrom
5.932 0.000 0.000
-2.966 5.138 0.000
0.000 0.000 6.281
! energy: -25.2 eV/cell

# 5
! TaTiN2F | Alexandria | GGA-PBE | relaxed; values from VASP
&SYSTEM
  ibrav = 0, nat = 5, ntyp = 4
/
ATOMIC_SPECIES
Ta 180.95 Ta.upf
Ti 47.87 Ti.upf
N 14.01 N.upf
F 19.00 F.upf
ATOMIC_POSITIONS crystal
Ta 0.000 0.000 0.000
Ti 0.500 0.500 0.500
N 0.000 0.500 0.000
N 0.500 0.000 0.000
F 0.000 0.000 0.500
CELL_PARAMETERS angstrom
4.091 0.000 0.000
0.000 4.091 0.000
0.000 0.000 3.912
! formation energy (no corrections): -711 meV/atom

# 6
! AlTcNiGe | Alexandria | GGA-PBE | relaxed; values from VASP
&SYSTEM
  ibrav = 0, nat = 4, ntyp = 4
/
ATOMIC_SPECIES
Al 26.98 Al.upf
Tc 98.00 Tc.upf
Ni 58.69 Ni.upf
Ge 72.64 Ge.upf
ATOMIC_POSITIONS crystal
Al 0.000 0.000 0.000
Tc 0.750 0.750 0.750
Ni 0.250 0.250 0.250
Ge 0.500 0.500 0.500
CELL_PARAMETERS angstrom
0.000 2.990 2.990
2.990 0.000 2.990
2.990 2.990 0.000
! energy: -25.5 eV/cell

# 7
! TaCrCl2 | Alexandria | GGA-PBE | relaxed; values from VASP
&SYSTEM
  ibrav = 0, nat = 4, ntyp = 3
/
ATOMIC_SPECIES
Ta 180.95 Ta.upf
Cr 52.00 Cr.upf
Cl 35.45 Cl.upf
ATOMIC_POSITIONS crystal
Ta 0.000 0.000 0.000
Cr 0.500 0.000 0.500
Cl 0.190 0.500 0.244
Cl 0.810 0.500 0.756
CELL_PARAMETERS angstrom
3.106 0.000 0.000
0.000 4.276 0.000
-0.515 0.000 5.393
! formation energy (no corrections): 192 meV/atom

# 8
! CaIn3Hg12 | Alexandria | GGA-PBE | relaxed; values from VASP
&SYSTEM
  ibrav = 0, nat = 16, ntyp = 3
/
ATOMIC_SPECIES
Ca 40.08 Ca.upf
In 114.82 In.upf
Hg 200.59 Hg.upf
ATOMIC_POSITIONS crystal
Ca 0.000 0.000 0.000
In 0.000 0.000 0.249
In 0.000 0.000 0.500
In 0.000 0.000 0.751
Hg 0.000 0.500 0.126
Hg 0.000 0.500 0.373
Hg 0.000 0.500 0.627
Hg 0.000 0.500 0.874
Hg 0.500 0.000 0.126
Hg 0.500 0.000 0.373
Hg 0.500 0.000 0.627
Hg 0.500 0.000 0.874
Hg 0.500 0.500 0.000
Hg 0.500 0.500 0.248
Hg 0.500 0.500 0.500
Hg 0.500 0.500 0.752
CELL_PARAMETERS angstrom
4.887 0.000 0.000
0.000 4.887 0.000
0.000 0.000 17.646
! energy: -15.4 eV/cell

# 9
! Na2BeGaRe | Alexandria | GGA-PBE | relaxed; values from VASP
&SYSTEM
  ibrav = 0, nat = 5, ntyp = 4
/
ATOMIC_SPECIES
Na 22.99 Na.upf
Be 9.01 Be.upf
Ga 69.72 Ga.upf
Re 186.21 Re.upf
ATOMIC_POSITIONS crystal
Na 0.000 0.500 0.000
Na 0.500 0.000 0.000
Be 0.000 0.000 0.500
Ga 0.500 0.500 0.000
Re 0.500 0.500 0.500
CELL_PARAMETERS angstrom
5.069 0.000 0.000
0.000 5.069 0.000
0.000 0.000 4.839
! energy: -14.6 eV/cell

# 10
! CsPPb3 | Alexandria | GGA-PBE | relaxed; values from VASP
&SYSTEM
  ibrav = 0, nat = 5, ntyp = 3
/
ATOMIC_SPECIES
Cs 132.91 Cs.upf
P 30.97 P.upf
Pb 207.20 Pb.upf
ATOMIC_POSITIONS crystal
Cs 0.000 0.000 0.000
P 0.500 0.500 0.500
Pb 0.000 0.500 0.500
Pb 0.500 0.000 0.500
Pb 0.500 0.500 0.000
CELL_PARAMETERS angstrom
5.737 0.000 0.000
0.000 5.737 0.000
0.000 0.000 5.737
! energy: -16.3 eV/cell

# 11
! KHoCrCl6 | Alexandria | GGA-PBE | relaxed; values from VASP
&SYSTEM
  ibrav = 0, nat = 18, ntyp = 4
/
ATOMIC_SPECIES
K 39.10 K.upf
Ho 164.93 Ho.upf
Cr 52.00 Cr.upf
Cl 35.45 Cl.upf
ATOMIC_POSITIONS crystal
K 0.000 0.000 0.000
K 0.000 0.000 0.500
Ho 0.333 0.667 0.250
Ho 0.667 0.333 0.750
Cr 0.333 0.667 0.750
Cr 0.667 0.333 0.250
Cl 0.013 0.376 0.645
Cl 0.013 0.637 0.855
Cl 0.363 0.376 0.855
Cl 0.363 0.987 0.645
Cl 0.376 0.013 0.145
Cl 0.376 0.363 0.355
Cl 0.624 0.637 0.645
Cl 0.624 0.987 0.855
Cl 0.637 0.013 0.355
Cl 0.637 0.624 0.145
Cl 0.987 0.363 0.145
Cl 0.987 0.624 0.355
CELL_PARAMETERS angstrom
6.708 0.000 0.000
-3.354 5.810 0.000
0.000 0.000 13.991
! formation energy (no corrections): -1769 meV/atom

# 12
! Te3OsC | Alexandria | GGA-PBE | relaxed; values from VASP
&SYSTEM
  ibrav = 0, nat = 5, ntyp = 3
/
ATOMIC_SPECIES
Te 127.60 Te.upf
Os 190.23 Os.upf
C 12.01 C.upf
ATOMIC_POSITIONS crystal
Te 0.000 0.000 0.500
Te 0.000 0.500 0.000
Te 0.500 0.000 0.000
Os 0.500 0.500 0.500
C 0.000 0.000 0.000
CELL_PARAMETERS angstrom
4.596 0.000 0.000
0.000 4.596 0.000
0.000 0.000 4.596
! formation energy (no corrections): 1551 meV/atom